# GGA-PBE Hg2RuPt, relaxed
# ΔE to the lowest computed polymorph (meV per atom): 55.3
# Final energy (eV per atom): -3.6289
# Calculated volume (Å³/cell): 73
data_Hg2RuPt
_chemical_formula_sum 'Hg2 Ru1 Pt1'
_cell_length_a 9.9037
_cell_length_b 9.9037
_cell_length_c 9.9037
_cell_angle_alpha 17.12
_cell_angle_beta 17.12
_cell_angle_gamma 17.12
_symmetry_space_group_name_H-M 'P 1'
_symmetry_Int_Tables_number 1
_symmetry_space_group_name_Hall 'P 1'
loop_
_atom_site_label
_atom_site_fract_x
_atom_site_fract_y
_atom_site_fract_z
_atom_site_occupancy
Hg1 0.0000 0.0000 0.0000 1
Hg2 0.2358 0.2358 0.2358 1
Ru1 0.7481 0.7481 0.7481 1
Pt1 0.4847 0.4847 0.4847 1

=====

# GGA-PBE HgRuPt2, relaxed
# Final energy (eV per atom): -5.1124
# Calculated volume (Å³/cell): 66
data_HgRuPt2
_chemical_formula_sum 'Hg1 Ru1 Pt2'
_cell_length_a 3.9482
_cell_length_b 3.9482
_cell_length_c 4.2123
_cell_angle_alpha 90.00
_cell_angle_beta 90.00
_cell_angle_gamma 90.00
_symmetry_space_group_name_H-M 'P 1'
_symmetry_Int_Tables_number 1
_symmetry_space_group_name_Hall 'P 1'
loop_
_atom_site_label
_atom_site_fract_x
_atom_site_fract_y
_atom_site_fract_z
_atom_site_occupancy
Hg1 0.0000 0.0000 0.0000 1
Ru1 0.5000 0.5000 0.0000 1
Pt1 0.0000 0.5000 0.5000 1
Pt2 0.5000 0.0000 0.5000 1

=====

# GGA-PBE HgRuPt2, relaxed
# Final energy (eV per atom): -5.1897
# Calculated volume (Å³/cell): 66
data_HgRuPt2
_chemical_formula_sum 'Hg1 Ru1 Pt2'
_cell_length_a 9.4687
_cell_length_b 9.4687
_cell_length_c 9.4687
_cell_angle_alpha 17.34
_cell_angle_beta 17.34
_cell_angle_gamma 17.34
_symmetry_space_group_name_H-M 'P 1'
_symmetry_Int_Tables_number 1
_symmetry_space_group_name_Hall 'P 1'
loop_
_atom_site_label
_atom_site_fract_x
_atom_site_fract_y
_atom_site_fract_z
_atom_site_occupancy
Hg1 0.0000 0.0000 0.0000 1
Ru1 0.7534 0.7534 0.7534 1
Pt1 0.2447 0.2447 0.2447 1
Pt2 0.4957 0.4957 0.4957 1

=====

# GGA-PBE HgRuPt2, relaxed
# Final energy (eV per atom): -5.1801
# Calculated volume (Å³/cell): 66
data_HgRuPt2
_chemical_formula_sum 'Hg1 Ru1 Pt2'
_cell_length_a 4.8725
_cell_length_b 4.8725
_cell_length_c 5.0480
_cell_angle_alpha 98.80
_cell_angle_beta 98.80
_cell_angle_gamma 33.87
_symmetry_space_group_name_H-M 'P 1'
_symmetry_Int_Tables_number 1
_symmetry_space_group_name_Hall 'P 1'
loop_
_atom_site_label
_atom_site_fract_x
_atom_site_fract_y
_atom_site_fract_z
_atom_site_occupancy
Hg1 0.0000 0.0000 0.0000 1
Ru1 0.5000 0.5000 0.5000 1
Pt1 0.2426 0.2426 0.7325 1
Pt2 0.7574 0.7574 0.2675 1

=====

# GGA-PBE Hg2RuPt, relaxed
# ΔE to the lowest computed polymorph (meV per atom): 100.8
# Final energy (eV per atom): -3.5834
# Calculated volume (Å³/cell): 71
data_Hg2RuPt
_chemical_formula_sum 'Hg2 Ru1 Pt1'
_cell_length_a 5.0287
_cell_length_b 5.0287
_cell_length_c 2.9251
_cell_angle_alpha 90.00
_cell_angle_beta 90.00
_cell_angle_gamma 105.64
_symmetry_space_group_name_H-M 'P 1'
_symmetry_Int_Tables_number 1
_symmetry_space_group_name_Hall 'P 1'
loop_
_atom_site_label
_atom_site_fract_x
_atom_site_fract_y
_atom_site_fract_z
_atom_site_occupancy
Hg1 0.0000 0.5000 0.0000 1
Hg2 0.5000 0.0000 0.0000 1
Ru1 0.0000 0.0000 0.5000 1
Pt1 0.5000 0.5000 0.5000 1

=====

# GGA-PBE Hg2RuPt, relaxed
# ΔE to the lowest computed polymorph (meV per atom): 155.3
# Final energy (eV per atom): -3.5289
# Calculated volume (Å³/cell): 72
data_Hg2RuPt
_chemical_formula_sum 'Hg2 Ru1 Pt1'
_cell_length_a 2.9408
_cell_length_b 4.7989
_cell_length_c 5.1024
_cell_angle_alpha 90.00
_cell_angle_beta 90.00
_cell_angle_gamma 90.00
_symmetry_space_group_name_H-M 'P 1'
_symmetry_Int_Tables_number 1
_symmetry_space_group_name_Hall 'P 1'
loop_
_atom_site_label
_atom_site_fract_x
_atom_site_fract_y
_atom_site_fract_z
_atom_site_occupancy
Hg1 0.0000 0.0000 0.0000 1
Hg2 0.5000 0.0000 0.5000 1
Ru1 0.0000 0.5000 0.5000 1
Pt1 0.5000 0.5000 0.0000 1

=====

# GGA-PBE HgRu2Pt2, relaxed
# ΔE to the lowest computed polymorph (meV per atom): 35.7
# Final energy (eV per atom): -5.8094
# Calculated volume (Å³/cell): 167
data_HgRu2Pt2
_chemical_formula_sum 'Hg2 Ru4 Pt4'
_cell_length_a 7.7701
_cell_length_b 7.7701
_cell_length_c 2.7689
_cell_angle_alpha 90.00
_cell_angle_beta 90.00
_cell_angle_gamma 90.00
_symmetry_space_group_name_H-M 'P 1'
_symmetry_Int_Tables_number 1
_symmetry_space_group_name_Hall 'P 1'
loop_
_atom_site_label
_atom_site_fract_x
_atom_site_fract_y
_atom_site_fract_z
_atom_site_occupancy
Hg1 0.0000 0.0000 0.0000 1
Hg2 0.5000 0.5000 0.0000 1
Ru1 0.1737 0.3263 0.5000 1
Ru2 0.3263 0.8263 0.5000 1
Ru3 0.6737 0.1737 0.5000 1
Ru4 0.8263 0.6737 0.5000 1
Pt1 0.1229 0.6229 0.0000 1
Pt2 0.3771 0.1229 0.0000 1
Pt3 0.6229 0.8771 0.0000 1
Pt4 0.8771 0.3771 0.0000 1

=====

# GGA-PBE HgRuPt2, relaxed
# Final energy (eV per atom): -5.2398
# Calculated volume (Å³/cell): 66
data_HgRuPt2
_chemical_formula_sum 'Hg1 Ru1 Pt2'
_cell_length_a 2.8439
_cell_length_b 3.9726
_cell_length_c 5.8292
_cell_angle_alpha 90.00
_cell_angle_beta 90.20
_cell_angle_gamma 90.00
_symmetry_space_group_name_H-M 'P 1'
_symmetry_Int_Tables_number 1
_symmetry_space_group_name_Hall 'P 1'
loop_
_atom_site_label
_atom_site_fract_x
_atom_site_fract_y
_atom_site_fract_z
_atom_site_occupancy
Hg1 0.0000 0.0000 0.0000 1
Ru1 0.0000 0.0000 0.5000 1
Pt1 0.5003 0.5000 0.2717 1
Pt2 0.4997 0.5000 0.7283 1

=====

# GGA-PBE Hg2RuPt, relaxed
# ΔE to the lowest computed polymorph (meV per atom): 96.5
# Final energy (eV per atom): -3.5877
# Calculated volume (Å³/cell): 71
data_Hg2RuPt
_chemical_formula_sum 'Hg2 Ru1 Pt1'
_cell_length_a 4.8913
_cell_length_b 4.8913
_cell_length_c 5.2637
_cell_angle_alpha 99.53
_cell_angle_beta 99.53
_cell_angle_gamma 35.20
_symmetry_space_group_name_H-M 'P 1'
_symmetry_Int_Tables_number 1
_symmetry_space_group_name_Hall 'P 1'
loop_
_atom_site_label
_atom_site_fract_x
_atom_site_fract_y
_atom_site_fract_z
_atom_site_occupancy
Hg1 0.2482 0.2482 0.2463 1
Hg2 0.7518 0.7518 0.7537 1
Ru1 0.5000 0.5000 0.0000 1
Pt1 0.0000 0.0000 0.5000 1

=====

# GGA-PBE Hg2RuPt, relaxed
# ΔE to the lowest computed polymorph (meV per atom): 93.9
# Final energy (eV per atom): -3.5903
# Calculated volume (Å³/cell): 71
data_Hg2RuPt
_chemical_formula_sum 'Hg2 Ru1 Pt1'
_cell_length_a 2.9903
_cell_length_b 3.8694
_cell_length_c 6.1699
_cell_angle_alpha 90.00
_cell_angle_beta 90.00
_cell_angle_gamma 90.00
_symmetry_space_group_name_H-M 'P 1'
_symmetry_Int_Tables_number 1
_symmetry_space_group_name_Hall 'P 1'
loop_
_atom_site_label
_atom_site_fract_x
_atom_site_fract_y
_atom_site_fract_z
_atom_site_occupancy
Hg1 0.0000 0.0000 0.2470 1
Hg2 0.0000 0.0000 0.7530 1
Ru1 0.5000 0.5000 0.0000 1
Pt1 0.5000 0.5000 0.5000 1

=====

# GGA-PBE Hg2RuPt, relaxed
# ΔE to the lowest computed polymorph (meV per atom): 118.2
# Final energy (eV per atom): -3.5660
# Calculated volume (Å³/cell): 71
data_Hg2RuPt
_chemical_formula_sum 'Hg2 Ru1 Pt1'
_cell_length_a 4.6544
_cell_length_b 4.6544
_cell_length_c 4.6544
_cell_angle_alpha 60.00
_cell_angle_beta 60.00
_cell_angle_gamma 60.00
_symmetry_space_group_name_H-M 'P 1'
_symmetry_Int_Tables_number 1
_symmetry_space_group_name_Hall 'P 1'
loop_
_atom_site_label
_atom_site_fract_x
_atom_site_fract_y
_atom_site_fract_z
_atom_site_occupancy
Hg1 0.2500 0.2500 0.2500 1
Hg2 0.7500 0.7500 0.7500 1
Ru1 0.0000 0.0000 0.0000 1
Pt1 0.5000 0.5000 0.5000 1

=====

# GGA-PBE HgRuPt4, relaxed
# Final energy (eV per atom): -5.2777
# Calculated volume (Å³/cell): 105
data_HgRuPt4
_chemical_formula_sum 'Hg1 Ru1 Pt4'
_cell_length_a 5.2885
_cell_length_b 5.2885
_cell_length_c 5.2885
_cell_angle_alpha 60.00
_cell_angle_beta 60.00
_cell_angle_gamma 60.00
_symmetry_space_group_name_H-M 'P 1'
_symmetry_Int_Tables_number 1
_symmetry_space_group_name_Hall 'P 1'
loop_
_atom_site_label
_atom_site_fract_x
_atom_site_fract_y
_atom_site_fract_z
_atom_site_occupancy
Hg1 0.0000 0.0000 0.0000 1
Ru1 0.2500 0.2500 0.2500 1
Pt1 0.1257 0.6248 0.6248 1
Pt2 0.6248 0.1257 0.6248 1
Pt3 0.6248 0.6248 0.1257 1
Pt4 0.6248 0.6248 0.6248 1

=====

Number 1: E_form 351.2 meV per atom. Number 2: E_form 302.4 meV per atom. Number 3: E_form 225.1 meV per atom. Number 4: E_form 234.7 meV per atom. Number 5: E_form 396.7 meV per atom. Number 6: E_form 451.2 meV per atom. Number 7: E_form 377.6 meV per atom. Number 8: E_form 175.0 meV per atom. Number 9: E_form 392.4 meV per atom. Number 10: E_form 389.8 meV per atom. Number 11: E_form 414.1 meV per atom. Number 12: E_form 345.8 meV per atom.